[1]
# PBE Ta2TcHg, relaxed
data_Ta2TcHg
_chemical_formula_sum 'Ta2 Tc1 Hg1'
_space_group_name_H-M_alt 'P 1'
_space_group_IT_number 1
_cell_length_a 4.132
_cell_length_b 4.138
_cell_length_c 4.072
_cell_angle_alpha 90.00
_cell_angle_beta 90.00
_cell_angle_gamma 90.00
loop_
_space_group_symop_operation_xyz
'x,y,z'
loop_
_atom_site_label
_atom_site_fract_x
_atom_site_fract_y
_atom_site_fract_z
Hg1 0.000 0.500 0.500
Ta1 0.000 0.000 0.000
Ta2 0.500 0.500 0.000
Tc1 0.500 0.000 0.500
# Space-group type: P4/mmm, No. 123
# Formation energy from the elements (meV/atom): 188

---

[2]
# PBE Li2AlSe, relaxed
data_Li2AlSe
_chemical_formula_sum 'Li2 Al1 Se1'
_space_group_name_H-M_alt 'P 1'
_space_group_IT_number 1
_cell_length_a 6.278
_cell_length_b 6.278
_cell_length_c 6.278
_cell_angle_alpha 148.50
_cell_angle_beta 142.92
_cell_angle_gamma 49.42
loop_
_space_group_symop_operation_xyz
'x,y,z'
loop_
_atom_site_label
_atom_site_fract_x
_atom_site_fract_y
_atom_site_fract_z
Al1 0.317 0.817 0.500
Li1 0.995 0.995 0.000
Li2 0.693 0.193 0.500
Se1 0.494 0.494 0.000
# Formation energy (no corrections) (eV/atom): -0.480
# Energy above the most stable polymorph in this dataset (meV/atom): 50
# Space-group type: Imm2, No. 44

---

[3]
# PBE K2VPdSe4, relaxed
data_K2VPdSe4
_chemical_formula_sum 'K4 V2 Pd2 Se8'
_space_group_name_H-M_alt 'P 1'
_space_group_IT_number 1
_cell_length_a 5.814
_cell_length_b 7.375
_cell_length_c 11.892
_cell_angle_alpha 84.47
_cell_angle_beta 75.85
_cell_angle_gamma 66.78
loop_
_space_group_symop_operation_xyz
'x,y,z'
loop_
_atom_site_label
_atom_site_fract_x
_atom_site_fract_y
_atom_site_fract_z
K1 0.179 0.000 0.641
K2 0.821 0.000 0.359
K3 0.571 0.500 0.859
K4 0.929 0.500 0.141
V1 0.250 0.500 0.500
V2 0.500 0.000 0.000
Pd1 0.750 0.500 0.500
Pd2 0.000 0.000 0.000
Se1 0.320 0.794 0.116
Se2 0.230 0.206 0.884
Se3 0.886 0.794 0.884
Se4 0.564 0.206 0.116
Se5 0.430 0.706 0.384
Se6 0.520 0.294 0.616
Se7 0.864 0.706 0.616
Se8 0.186 0.294 0.384
# Formation energy (no corrections) (eV/atom): -0.860
# Space-group type: Fddd, No. 70

---

[4]
# PBE NaZnIO2, relaxed
data_NaZnIO2
_chemical_formula_sum 'Na1 Zn1 I1 O2'
_space_group_name_H-M_alt 'P 1'
_space_group_IT_number 1
_cell_length_a 4.081
_cell_length_b 4.081
_cell_length_c 6.015
_cell_angle_alpha 90.00
_cell_angle_beta 90.00
_cell_angle_gamma 90.00
loop_
_space_group_symop_operation_xyz
'x,y,z'
loop_
_atom_site_label
_atom_site_fract_x
_atom_site_fract_y
_atom_site_fract_z
I1 0.000 0.000 0.500
Na1 0.500 0.500 0.500
Zn1 0.000 0.000 0.000
O1 0.000 0.500 0.000
O2 0.500 0.000 0.000
# Formation energy (no corrections) (eV/atom): -0.398
# Energy above the most stable polymorph in this dataset (meV/atom): 0
# Space-group type: P4/mmm, No. 123

---

[5]
# PBE Hf2CrGaNi, relaxed
data_Hf2CrGaNi
_chemical_formula_sum 'Hf2 Cr1 Ga1 Ni1'
_space_group_name_H-M_alt 'P 1'
_space_group_IT_number 1
_cell_length_a 4.649
_cell_length_b 4.592
_cell_length_c 4.649
_cell_angle_alpha 90.00
_cell_angle_beta 90.00
_cell_angle_gamma 90.00
loop_
_space_group_symop_operation_xyz
'x,y,z'
loop_
_atom_site_label
_atom_site_fract_x
_atom_site_fract_y
_atom_site_fract_z
Ni1 0.500 0.500 0.500
Hf1 0.000 0.000 0.500
Hf2 0.500 0.000 0.000
Ga1 0.000 0.500 0.000
Cr1 0.000 0.000 0.000
# Space-group type: P4/mmm, No. 123
# Formation energy from the elements (meV/atom): 634

---

[6]
# PBE Tb3UAs4, relaxed
data_Tb3UAs4
_chemical_formula_sum 'Tb3 U1 As4'
_space_group_name_H-M_alt 'P 1'
_space_group_IT_number 1
_cell_length_a 5.828
_cell_length_b 5.828
_cell_length_c 7.137
_cell_angle_alpha 114.10
_cell_angle_beta 114.10
_cell_angle_gamma 90.00
loop_
_space_group_symop_operation_xyz
'x,y,z'
loop_
_atom_site_label
_atom_site_fract_x
_atom_site_fract_y
_atom_site_fract_z
U1 0.000 0.000 0.000
As1 0.000 0.500 0.000
As2 0.500 0.000 0.000
As3 0.245 0.245 0.491
As4 0.755 0.755 0.509
Tb1 0.500 0.500 0.000
Tb2 0.750 0.250 0.500
Tb3 0.250 0.750 0.500
# Space-group type: I4/mmm, No. 139
# Formation energy from the elements (meV/atom): -1337

---

[7]
# PBE PaNi5Ru, relaxed
data_PaNi5Ru
_chemical_formula_sum 'Pa2 Ni10 Ru2'
_space_group_name_H-M_alt 'P 1'
_space_group_IT_number 1
_cell_length_a 5.127
_cell_length_b 5.127
_cell_length_c 9.299
_cell_angle_alpha 63.25
_cell_angle_beta 63.25
_cell_angle_gamma 73.47
loop_
_space_group_symop_operation_xyz
'x,y,z'
loop_
_atom_site_label
_atom_site_fract_x
_atom_site_fract_y
_atom_site_fract_z
Pa1 0.680 0.320 0.250
Pa2 0.320 0.680 0.750
Ni1 0.553 0.857 0.286
Ni2 0.237 0.465 0.503
Ni3 0.857 0.553 0.786
Ni4 0.120 0.880 0.250
Ni5 0.535 0.763 0.997
Ni6 0.465 0.237 0.003
Ni7 0.880 0.120 0.750
Ni8 0.143 0.447 0.214
Ni9 0.763 0.535 0.497
Ni10 0.447 0.143 0.714
Ru1 0.000 0.000 0.000
Ru2 0.000 0.000 0.500
# Space-group type: C2/c, No. 15
# Formation energy from the elements (meV/atom): -82

---

[8]
# PBE LiYSe2, relaxed
data_LiYSe2
_chemical_formula_sum 'Li2 Y2 Se4'
_space_group_name_H-M_alt 'P 1'
_space_group_IT_number 1
_cell_length_a 8.060
_cell_length_b 10.713
_cell_length_c 7.059
_cell_angle_alpha 29.13
_cell_angle_beta 55.19
_cell_angle_gamma 41.21
loop_
_space_group_symop_operation_xyz
'x,y,z'
loop_
_atom_site_label
_atom_site_fract_x
_atom_site_fract_y
_atom_site_fract_z
Y1 0.000 0.000 0.000
Y2 0.750 0.500 0.000
Se1 0.247 0.000 0.506
Se2 0.503 0.500 0.494
Se3 0.997 0.500 0.506
Se4 0.753 0.000 0.494
Li1 0.250 0.500 0.000
Li2 0.500 0.000 0.000
# Formation energy (no corrections) (eV/atom): -1.689
# Space-group type: I4_1/amd, No. 141

---

[9]
# PBE KFeP2Ir, relaxed
data_KFeP2Ir
_chemical_formula_sum 'K1 Fe1 P2 Ir1'
_space_group_name_H-M_alt 'P 1'
_space_group_IT_number 1
_cell_length_a 3.866
_cell_length_b 3.866
_cell_length_c 7.120
_cell_angle_alpha 105.75
_cell_angle_beta 105.75
_cell_angle_gamma 90.00
loop_
_space_group_symop_operation_xyz
'x,y,z'
loop_
_atom_site_label
_atom_site_fract_x
_atom_site_fract_y
_atom_site_fract_z
K1 0.000 0.000 0.000
Fe1 0.750 0.250 0.500
P1 0.657 0.657 0.314
P2 0.343 0.343 0.686
Ir1 0.250 0.750 0.500
# Space-group type: I-4m2, No. 119
# Formation energy from the elements (meV/atom): -595

---

[10]
# PBE TlVBH2, relaxed
data_TlVBH2
_chemical_formula_sum 'Tl1 V1 B1 H2'
_space_group_name_H-M_alt 'P 1'
_space_group_IT_number 1
_cell_length_a 3.718
_cell_length_b 4.982
_cell_length_c 3.718
_cell_angle_alpha 90.00
_cell_angle_beta 90.00
_cell_angle_gamma 90.00
loop_
_space_group_symop_operation_xyz
'x,y,z'
loop_
_atom_site_label
_atom_site_fract_x
_atom_site_fract_y
_atom_site_fract_z
H1 0.000 0.000 0.500
H2 0.500 0.000 0.000
Tl1 0.000 0.500 0.000
B1 0.000 0.000 0.000
V1 0.500 0.500 0.500
# Electronic total energy (eV/atom): -3.53
# Space-group type: P4/mmm, No. 123

---

[11]
# PBE CdAg2P, relaxed
data_CdAg2P
_chemical_formula_sum 'Cd1 Ag2 P1'
_space_group_name_H-M_alt 'P 1'
_space_group_IT_number 1
_cell_length_a 5.165
_cell_length_b 5.165
_cell_length_c 5.048
_cell_angle_alpha 80.70
_cell_angle_beta 80.70
_cell_angle_gamma 33.59
loop_
_space_group_symop_operation_xyz
'x,y,z'
loop_
_atom_site_label
_atom_site_fract_x
_atom_site_fract_y
_atom_site_fract_z
Ag1 0.994 0.994 0.002
Ag2 0.743 0.743 0.765
Cd1 0.503 0.503 0.498
P1 0.260 0.260 0.235
# Energy above the most stable polymorph in this dataset (meV/atom): 61
# Space-group type: Cm, No. 8
# Formation energy from the elements (meV/atom): 214

---

[12]
# PBE DyMgSc2S4, relaxed
data_DyMgSc2S4
_chemical_formula_sum 'Dy1 Mg1 Sc2 S4'
_space_group_name_H-M_alt 'P 1'
_space_group_IT_number 1
_cell_length_a 3.728
_cell_length_b 6.516
_cell_length_c 6.532
_cell_angle_alpha 109.11
_cell_angle_beta 90.00
_cell_angle_gamma 90.00
loop_
_space_group_symop_operation_xyz
'x,y,z'
loop_
_atom_site_label
_atom_site_fract_x
_atom_site_fract_y
_atom_site_fract_z
Dy1 0.500 0.500 0.000
Mg1 0.000 0.000 0.000
Sc1 0.500 0.000 0.500
Sc2 0.000 0.500 0.500
S1 0.500 0.239 0.250
S2 0.500 0.761 0.750
S3 0.000 0.236 0.743
S4 0.000 0.764 0.257
# Formation energy (no corrections) (eV/atom): -1.726
# Space-group type: P2/m, No. 10